The following is a GGA-PBE calculation of an optimized crystal structure of K3Y2GaO6, from Alexandria.

Geometry as POSCAR:
```
K3Y2GaO6
1.0
5.833 -0.002 0.002
-2.917 5.051 0.002
-0.970 -1.680 6.225
O Ga K Y
6 1 3 2
direct
0.628 0.939 0.817
0.750 0.750 0.181
0.061 0.372 0.183
0.372 0.061 0.183
0.250 0.250 0.819
0.939 0.628 0.817
0.000 0.000 0.000
0.163 0.837 0.500
0.837 0.163 0.500
0.500 0.500 0.500
0.667 0.333 0.000
0.333 0.667 0.000
```

Summary:
space-group type	C2/m (12)
spin magnetization	0.00	μB/f.u.
total DFT energy (no corrections)	-6.410	eV per atom